Record 1
The following is a DFT calculation (PBE) of a relaxed structure of LaTa2Zn.

a = 10.585 Å, b = 3.004 Å, c = 5.317 Å
α = 90.00°, β = 102.97°, γ = 90.00°
Space group C2/m (No. 12)
One atom of each set of equivalent atoms:
1 La 0.000 0.000 0.000 [2 per cell]
2 Ta 0.223 0.000 0.714 [4 per cell]
3 Zn 0.000 0.500 0.500 [2 per cell]

- DOS at the Fermi energy: 7.0 states/eV per cell
- ΔH_f (0 K): 0.300 eV/atom

***

Record 2
The following is a DFT calculation (PBE) of a relaxed structure of SbTeI2F.

a = 5.891 Å, b = 5.891 Å, c = 6.110 Å
α = 90.00°, β = 90.00°, γ = 90.00°
Space group P4/mmm (No. 123)
One atom of each set of equivalent atoms:
1 Sb 0.000 0.000 0.000 [1 per cell]
2 Te 0.000 0.000 0.500 [1 per cell]
3 I 0.000 0.500 0.500 [2 per cell]
4 F 0.500 0.500 0.000 [1 per cell]

- Uncorrected formation energy: 0.2532 eV per atom
- DOS at the Fermi energy: 8.4 states/eV per cell

***

Record 3
The following is a DFT calculation (PBE) of a relaxed structure of BeZnInNiPd.

a = 3.012 Å, b = 3.727 Å, c = 6.465 Å
α = 90.00°, β = 90.00°, γ = 90.00°
Space group Pmm2 (No. 25)
One atom of each set of equivalent atoms:
1 Be 0.000 0.000 0.000 [1 per cell]
2 Zn 0.000 0.500 0.756 [1 per cell]
3 In 0.000 0.000 0.395 [1 per cell]
4 Ni 0.500 0.000 0.746 [1 per cell]
5 Pd 0.500 0.500 0.109 [1 per cell]

- DOS at the Fermi energy: 1.8 states/eV per cell
- ΔH_f (0 K): -0.254 eV/atom

***

Record 4
The following is a DFT calculation (PBE) of a relaxed structure of ReHgTe2.

a = 6.120 Å, b = 8.195 Å, c = 3.516 Å
α = 90.00°, β = 90.00°, γ = 90.00°
Space group Cmmm (No. 65)
One atom of each set of equivalent atoms:
1 Re 0.000 0.000 0.000 [2 per cell]
2 Hg 0.000 0.500 0.000 [2 per cell]
3 Te 0.250 0.250 0.500 [4 per cell]

- Uncorrected formation energy: 0.9419 eV per atom
- DOS at the Fermi energy: 8.5 states/eV per cell

***

Record 5
The following is a DFT calculation (PBE) of a relaxed structure of Pm6Ni2CCl3.

a = 19.421 Å, b = 3.815 Å, c = 8.400 Å
α = 90.00°, β = 112.75°, γ = 90.00°
Space group C2/m (No. 12)
One atom of each set of equivalent atoms:
1 Pm 0.008 0.000 0.302 [4 per cell]
2 Pm 0.144 0.500 0.630 [4 per cell]
3 Pm 0.165 0.500 0.217 [4 per cell]
4 Ni 0.204 0.000 0.464 [4 per cell]
5 C 0.000 0.500 0.500 [2 per cell]
6 Cl 0.000 0.500 0.000 [2 per cell]
7 Cl 0.153 0.000 0.914 [4 per cell]

- Uncorrected formation energy: -0.9397 eV per atom
- DOS at the Fermi energy: 18.4 states/eV per cell

***

Record 6
The following is a DFT calculation (PBE) of a relaxed structure of SrNi2Pb2.

a = 4.697 Å, b = 4.697 Å, c = 10.504 Å
α = 90.00°, β = 90.00°, γ = 90.00°
Space group I4/mmm (No. 139)
One atom of each set of equivalent atoms:
1 Sr 0.000 0.000 0.000 [2 per cell]
2 Ni 0.000 0.000 0.386 [4 per cell]
3 Pb 0.000 0.500 0.250 [4 per cell]

- DOS at the Fermi energy: 8.7 states/eV per cell
- ΔH_f (0 K): -0.073 eV/atom